# La4Y6Th

A relaxed La4Y6Th crystal (PBE, Alexandria via LeMat-Bulk).

Cell lengths 5.839, 5.720, 26.323 Å; angles 90.00, 90.00, 120.69 degrees
Atoms (fractional coordinates):
Y 0.143 0.286 0.185
Y 0.523 0.047 0.750
Y 0.857 0.714 0.815
Y 0.500 0.000 0.500
Y 0.857 0.714 0.685
Y 0.815 0.630 0.103
Y 0.143 0.286 0.315
Y 0.477 0.953 0.250
Y 0.185 0.370 0.603
Y 0.500 0.000 0.000
Y 0.185 0.370 0.897
Y 0.815 0.630 0.397
La 0.840 0.681 0.545
La 0.840 0.681 0.955
La 0.528 0.055 0.876
La 0.528 0.055 0.624
La 0.160 0.319 0.455
La 0.160 0.319 0.045
La 0.472 0.945 0.124
La 0.472 0.945 0.376
Th 0.188 0.377 0.750
Th 0.812 0.623 0.250

Values from the calculation:
- total magnetization (μB per atom) = 0.000
- energy of formation (meV per atom) = 127
- raw total energy (eV/cell) = -129.0
- DOS(E_F) (states/eV per atom) = 1.766